(1)
ZrUTe2 | GGA-PBE | optimized geometry

a b c (Å): 3.6362 3.6362 30.7638
angles (deg): 90.00 90.00 120.00
Last column: nearest neighbours and their distance in Å.
Atoms (fractional coordinates):
1 Zr 0.0000 0.0000 0.0000  6 Te 2.89
2 Zr 0.3333 0.6667 0.6667  6 Te 2.89
3 Zr 0.6667 0.3333 0.3333  6 Te 2.89
4 U 0.0000 0.0000 0.5000  2 Te 3.13
5 U 0.3333 0.6667 0.1667  2 Te 3.13
6 U 0.6667 0.3333 0.8333  2 Te 3.13
7 Te 0.0000 0.0000 0.3981  3 Zr 2.89, 1 U 3.13
8 Te 0.0000 0.0000 0.6019  3 Zr 2.89, 1 U 3.13
9 Te 0.3333 0.6667 0.0648  3 Zr 2.89, 1 U 3.13
10 Te 0.3333 0.6667 0.2686  3 Zr 2.89, 1 U 3.13
11 Te 0.6667 0.3333 0.7314  3 Zr 2.89, 1 U 3.13
12 Te 0.6667 0.3333 0.9352  3 Zr 2.89, 1 U 3.13

Calculated values
V: 352.3 Å³/cell
energy above the lowest structure with this stoichiometry: 390 meV per atom
size of the total moment: 3.93 μB per formula unit

(2)
ZrUTe2 | GGA-PBE | optimized geometry

a b c (Å): 3.6272 3.6272 7.4352
angles (deg): 90.00 90.00 90.00
Last column: nearest neighbours and their distance in Å.
Atoms (fractional coordinates):
1 Zr 0.0000 0.0000 0.0000  8 Te 3.10
2 U 0.0000 0.0000 0.5000  8 Te 3.23
3 Te 0.5000 0.5000 0.2354  4 Zr 3.10, 4 U 3.23
4 Te 0.5000 0.5000 0.7647  4 Zr 3.10, 4 U 3.23

Calculated values
V: 97.8 Å³/cell
energy above the lowest structure with this stoichiometry: 0 meV per atom
size of the total moment: 3.26 μB per formula unit

(3)
V3Te4 | GGA-PBE | optimized geometry

a b c (Å): 14.0219 3.7679 6.4675
angles (deg): 90.00 112.10 90.00
Last column: nearest neighbours and their distance in Å.
Atoms (fractional coordinates):
1 V 0.0000 0.0000 0.0000  6 Te 2.70-2.74
2 V 0.2421 0.0000 0.2997  6 Te 2.63-2.78
3 V 0.2579 0.5000 0.7003  6 Te 2.63-2.78
4 V 0.5000 0.5000 0.0000  6 Te 2.70-2.74
5 V 0.7421 0.5000 0.2997  6 Te 2.63-2.78
6 V 0.7579 0.0000 0.7003  6 Te 2.63-2.78
7 Te 0.1031 0.5000 0.3121  5 V 2.63-2.74
8 Te 0.1509 0.0000 0.8366  4 V 2.70-2.78
9 Te 0.3491 0.5000 0.1634  4 V 2.70-2.78
10 Te 0.3969 0.0000 0.6879  5 V 2.63-2.74
11 Te 0.6031 0.0000 0.3121  5 V 2.63-2.74
12 Te 0.6509 0.5000 0.8366  4 V 2.70-2.78
13 Te 0.8491 0.0000 0.1634  4 V 2.70-2.78
14 Te 0.8969 0.5000 0.6879  5 V 2.63-2.74

Calculated values
V: 316.6 Å³/cell
energy above the lowest structure with this stoichiometry: 70 meV per atom
size of the total moment: 2.74 μB per formula unit

(4)
V3Te4 | GGA-PBE | optimized geometry

a b c (Å): 13.9958 3.9544 6.8710
angles (deg): 90.00 117.59 90.00
Last column: nearest neighbours and their distance in Å.
Atoms (fractional coordinates):
1 V 0.0000 0.0000 0.0000  6 Te 2.76-2.81
2 V 0.2443 0.5000 0.7069  6 Te 2.71-2.88
3 V 0.2557 0.0000 0.2931  6 Te 2.71-2.88
4 V 0.5000 0.5000 0.0000  6 Te 2.76-2.81
5 V 0.7443 0.0000 0.7069  6 Te 2.71-2.88
6 V 0.7557 0.5000 0.2931  6 Te 2.71-2.88
7 Te 0.1109 0.0000 0.4525  4 V 2.71-2.76
8 Te 0.1367 0.5000 0.9762  5 V 2.81-2.88
9 Te 0.3633 0.0000 0.0238  5 V 2.81-2.88
10 Te 0.3891 0.5000 0.5475  4 V 2.71-2.76
11 Te 0.6109 0.5000 0.4525  4 V 2.71-2.76
12 Te 0.6367 0.0000 0.9762  5 V 2.81-2.88
13 Te 0.8633 0.5000 0.0238  5 V 2.81-2.88
14 Te 0.8891 0.0000 0.5475  4 V 2.71-2.76

Calculated values
V: 337.0 Å³/cell
energy above the lowest structure with this stoichiometry: 0 meV per atom
size of the total moment: 6.87 μB per formula unit

(5)
V9Te8 | GGA-PBE | optimized geometry

a b c (Å): 7.1338 7.2353 7.6065
angles (deg): 74.73 74.33 89.82
Last column: nearest neighbours and their distance in Å.
Atoms (fractional coordinates):
1 V 0.0000 0.0000 0.0000  3 V 2.64-2.85, 5 Te 2.69-2.81
2 V 0.0021 0.9872 0.4707  2 V 2.56-2.65, 5 Te 2.70-2.83
3 V 0.0694 0.6984 0.2524  5 V 2.48-2.72, 1 Te 2.77
4 V 0.0731 0.7024 0.8247  4 V 2.48-2.71, 1 Te 2.74
5 V 0.1312 0.4220 0.6005  2 V 2.48-2.61, 3 Te 2.78
6 V 0.1447 0.4034 0.0929  3 V 2.71-2.89, 5 Te 2.71-2.75
7 V 0.2892 0.7735 0.4707  4 V 2.56-2.72, 4 Te 2.76-2.81
8 V 0.3374 0.7851 0.9528  2 V 2.48, 4 Te 2.72-2.77
9 V 0.8512 0.6276 0.6150  4 V 2.48-2.69, 2 Te 2.75-2.77
10 Te 0.2846 0.0610 0.6483  6 V 2.74-2.83
11 Te 0.3022 0.0588 0.1434  6 V 2.71-2.90
12 Te 0.4130 0.5183 0.2509  5 V 2.74-2.79
13 Te 0.4214 0.5141 0.7502  6 V 2.73-3.00
14 Te 0.7224 0.8778 0.3324  4 V 2.69-2.79
15 Te 0.7441 0.8976 0.8257  5 V 2.73-2.85
16 Te 0.8468 0.3558 0.9460  5 V 2.72-2.78
17 Te 0.8547 0.3473 0.4273  5 V 2.74-2.78

Calculated values
V: 363.7 Å³/cell
size of the total moment: 1.82 μB per formula unit

(6)
V5Te | GGA-PBE | optimized geometry

a b c (Å): 4.2801 12.4925 3.2855
angles (deg): 90.00 90.00 90.00
Last column: nearest neighbours and their distance in Å.
Atoms (fractional coordinates):
1 V 0.0000 0.0000 0.0000  4 V 2.64, 4 Te 2.70
2 V 0.0000 0.1654 0.5000  8 V 2.57-2.70
3 V 0.0000 0.3232 0.0000  8 V 2.57-2.82, 2 Te 2.75
4 V 0.0000 0.6768 0.0000  8 V 2.57-2.82, 2 Te 2.75
5 V 0.0000 0.8346 0.5000  8 V 2.57-2.70
6 V 0.5000 0.1768 0.0000  8 V 2.57-2.82, 2 Te 2.75
7 V 0.5000 0.3346 0.5000  8 V 2.57-2.70
8 V 0.5000 0.5000 0.0000  4 V 2.64, 4 Te 2.70
9 V 0.5000 0.6654 0.5000  8 V 2.57-2.70
10 V 0.5000 0.8232 0.0000  8 V 2.57-2.82, 2 Te 2.75
11 Te 0.0000 0.5000 0.5000  12 V 2.70-2.98
12 Te 0.5000 0.0000 0.5000  12 V 2.70-2.98

Calculated values
V: 175.7 Å³/cell
size of the total moment: 0.00 μB per formula unit

(7)
V5Te8 | GGA-PBE | optimized geometry

a b c (Å): 7.3906 7.3906 9.0336
angles (deg): 125.26 125.26 64.26
Last column: nearest neighbours and their distance in Å.
Atoms (fractional coordinates):
1 V 0.0000 0.0000 0.0000  6 Te 2.77
2 V 0.2832 0.2832 0.0500  6 Te 2.66-2.83
3 V 0.2871 0.7129 0.5000  6 Te 2.68-2.86
4 V 0.7129 0.2871 0.5000  6 Te 2.68-2.86
5 V 0.7168 0.7168 0.9500  6 Te 2.66-2.83
6 Te 0.0129 0.0129 0.3190  4 V 2.77-2.86
7 Te 0.0469 0.5388 0.8345  4 V 2.71-2.80
8 Te 0.4279 0.4279 0.6520  3 V 2.66-2.68
9 Te 0.4612 0.9531 0.1655  4 V 2.71-2.80
10 Te 0.5388 0.0469 0.8345  4 V 2.71-2.80
11 Te 0.5721 0.5721 0.3480  3 V 2.66-2.68
12 Te 0.9531 0.4612 0.1655  4 V 2.71-2.80
13 Te 0.9871 0.9871 0.6810  4 V 2.77-2.86

Calculated values
V: 325.2 Å³/cell
size of the total moment: 9.05 μB per formula unit

(8)
VTe2W | GGA-PBE | optimized geometry

a b c (Å): 6.2172 6.2172 12.0520
angles (deg): 90.00 90.00 90.00
Last column: nearest neighbours and their distance in Å.
Atoms (fractional coordinates):
1 V 0.0000 0.0000 0.0000  4 Te 2.68
2 V 0.0000 0.5000 0.2500  4 Te 2.68
3 V 0.5000 0.0000 0.7500  4 Te 2.68
4 V 0.5000 0.5000 0.5000  4 Te 2.68
5 Te 0.2459 0.2500 0.6250  2 W 2.65, 2 V 2.68
6 Te 0.2500 0.7459 0.8750  2 W 2.65, 2 V 2.68
7 Te 0.2500 0.7541 0.3750  2 W 2.65, 2 V 2.68
8 Te 0.2541 0.2500 0.1250  2 W 2.65, 2 V 2.68
9 Te 0.7459 0.7500 0.1250  2 W 2.65, 2 V 2.68
10 Te 0.7500 0.2459 0.3750  2 W 2.65, 2 V 2.68
11 Te 0.7500 0.2541 0.8750  2 W 2.65, 2 V 2.68
12 Te 0.7541 0.7500 0.6250  2 W 2.65, 2 V 2.68
13 W 0.0000 0.0000 0.5000  4 Te 2.65
14 W 0.0000 0.5000 0.7500  4 Te 2.65
15 W 0.5000 0.0000 0.2500  4 Te 2.65
16 W 0.5000 0.5000 0.0000  4 Te 2.65

Calculated values
V: 465.8 Å³/cell
energy above the lowest structure with this stoichiometry: 365 meV per atom
size of the total moment: 4.09 μB per formula unit

(9)
VTe3W | GGA-PBE | optimized geometry

a b c (Å): 5.3133 5.3133 5.3133
angles (deg): 90.00 90.00 90.00
Last column: nearest neighbours and their distance in Å.
Atoms (fractional coordinates):
1 V 0.0000 0.0000 0.0000  12 Te 3.76
2 Te 0.0000 0.5000 0.5000  2 W 2.66
3 Te 0.5000 0.0000 0.5000  2 W 2.66
4 Te 0.5000 0.5000 0.0000  2 W 2.66
5 W 0.5000 0.5000 0.5000  6 Te 2.66

Calculated values
V: 150.0 Å³/cell
energy above the lowest structure with this stoichiometry: 0 meV per atom
size of the total moment: 3.85 μB per formula unit

(10)
V3TeW | GGA-PBE | optimized geometry

a b c (Å): 4.6668 4.6668 4.6668
angles (deg): 90.00 90.00 90.00
Last column: nearest neighbours and their distance in Å.
Atoms (fractional coordinates):
1 V 0.0000 0.0000 0.5000  2 W 2.33
2 V 0.0000 0.5000 0.0000  2 W 2.33
3 V 0.5000 0.0000 0.0000  2 W 2.33
4 Te 0.5000 0.5000 0.5000  12 V 3.30
5 W 0.0000 0.0000 0.0000  6 V 2.33

Calculated values
V: 101.6 Å³/cell
energy above the lowest structure with this stoichiometry: 0 meV per atom
size of the total moment: 0.86 μB per formula unit

(11)
VTeW3 | GGA-PBE | optimized geometry

a b c (Å): 4.8502 4.8502 4.8502
angles (deg): 90.00 90.00 90.00
Last column: nearest neighbours and their distance in Å.
Atoms (fractional coordinates):
1 V 0.0000 0.0000 0.0000  12 W 3.43
2 Te 0.5000 0.5000 0.5000  6 W 2.43
3 W 0.0000 0.5000 0.5000  2 Te 2.43
4 W 0.5000 0.0000 0.5000  2 Te 2.43
5 W 0.5000 0.5000 0.0000  2 Te 2.43

Calculated values
V: 114.1 Å³/cell
energy above the lowest structure with this stoichiometry: 881 meV per atom
size of the total moment: 2.25 μB per formula unit

(12)
VTe2W | GGA-PBE | optimized geometry

a b c (Å): 3.2384 3.2384 27.2800
angles (deg): 90.00 90.00 120.00
Last column: nearest neighbours and their distance in Å.
Atoms (fractional coordinates):
1 V 0.0000 0.0000 0.0000  6 Te 2.65
2 V 0.3333 0.6667 0.6667  6 Te 2.65
3 V 0.6667 0.3333 0.3333  6 Te 2.65
4 Te 0.0000 0.0000 0.4020  3 V 2.65, 1 W 2.67
5 Te 0.0000 0.0000 0.5980  3 V 2.65, 1 W 2.67
6 Te 0.3333 0.6667 0.0687  3 V 2.65, 1 W 2.67
7 Te 0.3333 0.6667 0.2647  3 V 2.65, 1 W 2.67
8 Te 0.6667 0.3333 0.7353  3 V 2.65, 1 W 2.67
9 Te 0.6667 0.3333 0.9313  3 V 2.65, 1 W 2.67
10 W 0.0000 0.0000 0.5000  2 Te 2.67
11 W 0.3333 0.6667 0.1667  2 Te 2.67
12 W 0.6667 0.3333 0.8333  2 Te 2.67

Calculated values
V: 247.8 Å³/cell
energy above the lowest structure with this stoichiometry: 195 meV per atom
size of the total moment: 0.00 μB per formula unit

no.,D(E_F) (states/eV/f.u.),theoretical density (g/cm³),E_form (uncorrected) (eV per atom)
1,8.79,8.265,-0.16
2,8.05,9.921,-0.55
3,4.62,6.957,-0.24
4,4.81,6.535,-0.31
5,10.60,6.754,-0.31
6,6.09,7.227,0.00
7,7.23,6.514,-0.34
8,2.78,6.986,0.79
9,5.14,6.837,0.99
10,6.92,7.585,1.24
11,4.79,10.625,2.58
12,5.38,9.852,0.62